1.
VASP calculation (PBE) on an optimized crystal structure of PmDy3.

abc: 3.6418 5.6915 6.2984
angles: 90.00 90.00 90.00
Fractional positions:
Pm  0.0000  0.0000  0.0000
Dy  0.0000  0.5000  0.3352
Dy  0.5000  0.0000  0.5016
Dy  0.5000  0.5000  0.8340

Crystal system: orthorhombic
Energy above the most stable polymorph in this dataset: 0.005 eV/atom
Symmetry: No. 25
ΔH_f (0 K): 0.0185 eV per atom
Raw total energy: -4.62 eV/atom
DOS at the Fermi energy: 6.96 states/eV per cell

---

2.
VASP calculation (PBE) on an optimized crystal structure of KYC.

abc: 4.0534 4.0534 6.1644
angles: 90.00 90.00 120.00
Fractional positions:
K  0.0000  0.0000  0.0000
Y  0.3333  0.6667  0.5000
C  0.6667  0.3333  0.5000

Crystal system: hexagonal
Energy above the most stable polymorph in this dataset: 0.619 eV/atom
Symmetry: No. 187
ΔH_f (0 K): 0.5528 eV per atom
Raw total energy: -5.04 eV/atom
DOS at the Fermi energy: 2.19 states/eV per cell

---

3.
VASP calculation (PBE) on an optimized crystal structure of Rb2PCl6O.

abc: 6.9252 6.9252 6.9252
angles: 115.54 115.54 97.92
Fractional positions:
Rb  0.2500  0.7500  0.5000
Rb  0.7500  0.2500  0.5000
P  0.0000  0.0000  0.0000
Cl  0.2186  0.2186  0.4373
Cl  0.2186  0.7814  0.0000
Cl  0.2446  0.2446  0.0000
Cl  0.7554  0.7554  0.0000
Cl  0.7814  0.2186  0.0000
Cl  0.7814  0.7814  0.5627
O  0.5000  0.5000  0.0000

Crystal system: tetragonal
Symmetry: No. 139
Uncorrected formation energy: -0.831 eV/atom
Raw total energy: -3.17 eV/atom
DOS at the Fermi energy: 7.68 states/eV per cell

---

4.
VASP calculation (PBE) on an optimized crystal structure of CaLaCo2.

abc: 3.9387 4.0856 12.9680
angles: 90.00 90.00 90.00
Fractional positions:
Ca  0.0000  0.0000  0.0000
Ca  0.5000  0.5000  0.5000
La  0.0000  0.5000  0.2572
La  0.5000  0.0000  0.7572
Co  0.0000  0.0000  0.4073
Co  0.0000  0.5000  0.8362
Co  0.5000  0.0000  0.3362
Co  0.5000  0.5000  0.9073

Crystal system: orthorhombic
Symmetry: No. 44
ΔH_f (0 K): 0.1221 eV per atom
Raw total energy: -5.16 eV/atom
DOS at the Fermi energy: 7.06 states/eV per cell

---

5.
VASP calculation (PBE) on an optimized crystal structure of Sc3FeOs.

abc: 4.6096 4.6096 4.6096
angles: 90.00 90.00 90.00
Fractional positions:
Sc  0.0000  0.0000  0.5000
Sc  0.0000  0.5000  0.0000
Sc  0.5000  0.0000  0.0000
Fe  0.0000  0.0000  0.0000
Os  0.5000  0.5000  0.5000

Crystal system: cubic
Energy above the most stable polymorph in this dataset: 0.021 eV/atom
Symmetry: No. 221
ΔH_f (0 K): 0.4606 eV per atom
Raw total energy: -7.28 eV/atom
DOS at the Fermi energy: 9.04 states/eV per cell

---

6.
VASP calculation (PBE) on an optimized crystal structure of Nd3Dy6Y2Tm.

abc: 6.2010 6.2010 11.8449
angles: 95.00 95.00 119.98
Fractional positions:
Nd  0.0000  0.0000  0.0000
Nd  0.3335  0.6665  0.0000
Nd  0.6665  0.3335  0.0000
Dy  0.0852  0.4176  0.2535
Dy  0.2501  0.2501  0.7464
Dy  0.4176  0.0852  0.2535
Dy  0.5824  0.9148  0.7465
Dy  0.7499  0.7499  0.2536
Dy  0.9148  0.5824  0.7465
Y  0.1667  0.8333  0.5000
Y  0.8333  0.1667  0.5000
Tm  0.5000  0.5000  0.5000

Crystal system: monoclinic
Symmetry: No. 12
ΔH_f (0 K): 0.0195 eV per atom
Raw total energy: -4.92 eV/atom
DOS at the Fermi energy: 16.56 states/eV per cell